(1)
First-principles (PBE-GGA) data for a relaxed structure of Y4N3O, as listed in Alexandria via LeMat-Bulk.

CIF file:
```
data_Y4N3O
_chemical_formula_sum 'Y4 N3 O1'
_symmetry_space_group_name_H-M 'P m -3 m'
_symmetry_Int_Tables_number 221
_symmetry_space_group_name_Hall '-P 4 2 3'
_cell_length_a 4.893
_cell_length_b 4.893
_cell_length_c 4.893
_cell_angle_alpha 90.00
_cell_angle_beta 90.00
_cell_angle_gamma 90.00
loop_
_atom_site_label
_atom_site_type_symbol
_atom_site_fract_x
_atom_site_fract_y
_atom_site_fract_z
Y1 Y 0.000 0.000 0.000
Y2 Y 0.000 0.500 0.500
N1 N 0.000 0.000 0.500
O1 O 0.500 0.500 0.500
```



(2)
First-principles (PBE-GGA) data for a relaxed structure of YNO2, as listed in Alexandria via LeMat-Bulk.

CIF file:
```
data_YNO2
_chemical_formula_sum 'Y3 N3 O6'
_symmetry_space_group_name_H-M 'R -3 m'
_symmetry_Int_Tables_number 166
_symmetry_space_group_name_Hall '-R 3 2"'
_cell_length_a 3.5340
_cell_length_b 3.5340
_cell_length_c 16.8568
_cell_angle_alpha 90.00
_cell_angle_beta 90.00
_cell_angle_gamma 120.00
loop_
_atom_site_label
_atom_site_type_symbol
_atom_site_fract_x
_atom_site_fract_y
_atom_site_fract_z
Y1 Y 0.0000 0.0000 0.0000
N1 N 0.0000 0.0000 0.5000
O1 O 0.0000 0.0000 0.3936
```



(3)
First-principles (PBE-GGA) data for a relaxed structure of YNO2, as listed in Alexandria via LeMat-Bulk.

CIF file:
```
data_YNO2
_chemical_formula_sum 'Y4 N4 O8'
_symmetry_space_group_name_H-M 'I -4 2 d'
_symmetry_Int_Tables_number 122
_symmetry_space_group_name_Hall 'I -4 2bw'
_cell_length_a 3.963
_cell_length_b 3.963
_cell_length_c 12.871
_cell_angle_alpha 90.00
_cell_angle_beta 90.00
_cell_angle_gamma 90.00
loop_
_atom_site_label
_atom_site_type_symbol
_atom_site_fract_x
_atom_site_fract_y
_atom_site_fract_z
Y1 Y 0.000 0.000 0.000
N1 N 0.000 0.000 0.500
O1 O 0.207 0.250 0.625
```



(4)
First-principles (PBE-GGA) data for a relaxed structure of YNO3, as listed in Alexandria via LeMat-Bulk.

CIF file:
```
data_YNO3
_chemical_formula_sum 'Y1 N1 O3'
_symmetry_space_group_name_H-M 'P m -3 m'
_symmetry_Int_Tables_number 221
_symmetry_space_group_name_Hall '-P 4 2 3'
_cell_length_a 4.314
_cell_length_b 4.314
_cell_length_c 4.314
_cell_angle_alpha 90.00
_cell_angle_beta 90.00
_cell_angle_gamma 90.00
loop_
_atom_site_label
_atom_site_type_symbol
_atom_site_fract_x
_atom_site_fract_y
_atom_site_fract_z
Y1 Y 0.000 0.000 0.000
N1 N 0.500 0.500 0.500
O1 O 0.000 0.000 0.500
```



| no. | final energy (eV per atom) |
| --- | --- |
| 1 | -9.008 |
| 2 | -7.138 |
| 3 | -6.752 |
| 4 | -5.377 |